A relaxed structure of Ca3LaCd2, computed with PBE.

Lattice parameters (Å, degrees): 5.340 10.148 7.212 90.00 90.00 90.00
Space group Pmc2_1 (No. 26)
Asymmetric unit:
1 Ca 0.000 0.057 0.000 (multiplicity 2)
2 Ca 0.000 0.311 0.370 (multiplicity 2)
3 Ca 0.500 0.183 0.704 (multiplicity 2)
4 La 0.500 0.450 0.074 (multiplicity 2)
5 Cd 0.000 0.367 0.816 (multiplicity 2)
6 Cd 0.500 0.138 0.253 (multiplicity 2)

Summary:
Total DFT energy (no corrections) in Ha/atom: -0.0865
N(E_F) in states/eV/cell: 13.7
Total magnetic moment in μB per formula unit: 0.00
Formation energy from the elements in eV/atom: -0.226